# 1
This record from Alexandria via LeMat-Bulk describes crystalline LaHoNbO6 at its relaxed geometry. The functional is PBE.

a = 5.1556 Å, b = 5.5244 Å, c = 5.5357 Å
α = 60.16°, β = 89.91°, γ = 89.94°
Atoms (fractional coordinates):
La (0.0000, 0.0000, 0.0000)
Ho (0.5000, 0.3330, 0.3341)
Nb (0.5001, 0.6658, 0.6703)
O (0.2805, 0.3687, 0.9709)
O (0.2804, 0.6616, 0.3696)
O (0.2801, 0.9713, 0.6609)
O (0.7193, 0.9689, 0.3693)
O (0.7204, 0.3684, 0.6606)
O (0.7197, 0.6602, 0.9713)

Summary:
Fermi-level density of states   7.4 states/eV per cell
Theoretical density   5983 kg/m³
Uncorrected formation energy   -2.86 eV per atom


# 2
This record from Alexandria via LeMat-Bulk describes crystalline LaNd2Ho7 at its relaxed geometry. The functional is PBE.

a = 9.4166 Å, b = 9.4166 Å, c = 5.4604 Å
α = 90.00°, β = 90.00°, γ = 125.50°
Atoms (fractional coordinates):
La (0.0000, 0.0000, 0.0000)
Nd (0.2974, 0.7026, 0.5000)
Nd (0.7026, 0.2974, 0.5000)
Ho (0.0652, 0.2895, 0.5000)
Ho (0.2097, 0.7903, 0.0000)
Ho (0.2895, 0.0652, 0.5000)
Ho (0.5000, 0.5000, 0.5000)
Ho (0.7105, 0.9348, 0.5000)
Ho (0.7903, 0.2097, 0.0000)
Ho (0.9348, 0.7105, 0.5000)

Summary:
Fermi-level density of states   14.8 states/eV per cell
Calculated formation energy   0.6797 eV/atom
Theoretical density   6664 kg/m³


# 3
This record from Alexandria via LeMat-Bulk describes crystalline La12NdHo7 at its relaxed geometry. The functional is PBE.

a = 8.9944 Å, b = 8.9944 Å, c = 8.9944 Å
α = 98.97°, β = 98.97°, γ = 98.97°
Atoms (fractional coordinates):
La (0.0000, 0.2605, 0.7395)
La (0.0000, 0.7395, 0.2605)
La (0.1450, 0.1450, 0.4125)
La (0.1450, 0.4125, 0.1450)
La (0.2605, 0.0000, 0.7395)
La (0.2605, 0.7395, 0.0000)
La (0.4125, 0.1450, 0.1450)
La (0.5875, 0.8550, 0.8550)
La (0.7395, 0.0000, 0.2605)
La (0.7395, 0.2605, 0.0000)
La (0.8550, 0.5875, 0.8550)
La (0.8550, 0.8550, 0.5875)
Nd (0.5000, 0.5000, 0.5000)
Ho (0.0000, 0.0000, 0.0000)
Ho (0.1642, 0.5948, 0.5948)
Ho (0.4052, 0.4052, 0.8358)
Ho (0.4052, 0.8358, 0.4052)
Ho (0.5948, 0.1642, 0.5948)
Ho (0.5948, 0.5948, 0.1642)
Ho (0.8358, 0.4052, 0.4052)

Summary:
Fermi-level density of states   34.8 states/eV per cell
Calculated formation energy   0.0871 eV/atom
Theoretical density   7058 kg/m³


# 4
This record from Alexandria via LeMat-Bulk describes crystalline La3Nd2Ho2 at its relaxed geometry. The functional is PBE.

a = 9.1476 Å, b = 9.1476 Å, c = 8.7093 Å
α = 118.13°, β = 118.13°, γ = 22.46°
Atoms (fractional coordinates):
La (0.0000, 0.0000, 0.0000)
La (0.2134, 0.2134, 0.2933)
La (0.7866, 0.7866, 0.7067)
Nd (0.4355, 0.4355, 0.5882)
Nd (0.5645, 0.5645, 0.4118)
Ho (0.1458, 0.1458, 0.8311)
Ho (0.8542, 0.8542, 0.1689)

Summary:
Fermi-level density of states   11.3 states/eV per cell
Calculated formation energy   0.1116 eV/atom
Theoretical density   7040 kg/m³


# 5
This record from Alexandria via LeMat-Bulk describes crystalline La3Nd2Ho2 at its relaxed geometry. The functional is PBE.

a = 3.6733 Å, b = 6.3467 Å, c = 10.9542 Å
α = 84.15°, β = 89.96°, γ = 73.19°
Atoms (fractional coordinates):
La (0.0000, 0.0000, 0.0000)
La (0.1444, 0.7133, 0.5707)
La (0.8556, 0.2867, 0.4293)
Nd (0.2849, 0.4312, 0.1434)
Nd (0.7151, 0.5688, 0.8566)
Ho (0.4283, 0.1435, 0.7147)
Ho (0.5717, 0.8565, 0.2853)

Summary:
Fermi-level density of states   10.9 states/eV per cell
Calculated formation energy   0.0217 eV/atom
Theoretical density   7071 kg/m³


# 6
This record from Alexandria via LeMat-Bulk describes crystalline La3Nd2Ho4 at its relaxed geometry. The functional is PBE.

a = 10.2178 Å, b = 10.2178 Å, c = 6.2169 Å
α = 96.28°, β = 96.28°, γ = 71.37°
Atoms (fractional coordinates):
La (0.1239, 0.8761, 0.7500)
La (0.1980, 0.4786, 0.9073)
La (0.4786, 0.1980, 0.4073)
La (0.5214, 0.8020, 0.5927)
La (0.8020, 0.5214, 0.0927)
La (0.8761, 0.1239, 0.2500)
Nd (0.0180, 0.7534, 0.2078)
Nd (0.2466, 0.9820, 0.2922)
Nd (0.7534, 0.0180, 0.7078)
Nd (0.9820, 0.2466, 0.7922)
Ho (0.1112, 0.3471, 0.3606)
Ho (0.3269, 0.5603, 0.4607)
Ho (0.3471, 0.1112, 0.8606)
Ho (0.4397, 0.6731, 0.0393)
Ho (0.5603, 0.3269, 0.9607)
Ho (0.6529, 0.8888, 0.1394)
Ho (0.6731, 0.4397, 0.5393)
Ho (0.8888, 0.6529, 0.6394)

Summary:
Fermi-level density of states   28.8 states/eV per cell
Calculated formation energy   0.0957 eV/atom
Theoretical density   7438 kg/m³


# 7
This record from Alexandria via LeMat-Bulk describes crystalline La7Nd2Ho2 at its relaxed geometry. The functional is PBE.

a = 8.2344 Å, b = 8.2344 Å, c = 6.2391 Å
α = 105.10°, β = 105.10°, γ = 90.06°
Atoms (fractional coordinates):
La (0.0000, 0.0000, 0.0000)
La (0.0478, 0.5832, 0.8197)
La (0.4168, 0.9522, 0.1803)
La (0.4247, 0.4247, 0.1985)
La (0.5753, 0.5753, 0.8015)
La (0.5832, 0.0478, 0.8197)
La (0.9522, 0.4168, 0.1803)
Nd (0.2266, 0.2266, 0.5931)
Nd (0.7734, 0.7734, 0.4069)
Ho (0.2142, 0.7858, 0.5000)
Ho (0.7858, 0.2142, 0.5000)

Summary:
Fermi-level density of states   16.8 states/eV per cell
Calculated formation energy   0.1118 eV/atom
Theoretical density   6717 kg/m³


# 8
This record from Alexandria via LeMat-Bulk describes crystalline La4Nd2Ho at its relaxed geometry. The functional is PBE.

a = 6.3938 Å, b = 8.2550 Å, c = 9.7529 Å
α = 84.87°, β = 77.41°, γ = 82.54°
Atoms (fractional coordinates):
La (0.0684, 0.3594, 0.3591)
La (0.2112, 0.0728, 0.0710)
La (0.3591, 0.7893, 0.7837)
La (0.4272, 0.6435, 0.1442)
La (0.5728, 0.3565, 0.8558)
La (0.6409, 0.2107, 0.2163)
La (0.7888, 0.9272, 0.9290)
La (0.9316, 0.6406, 0.6409)
Nd (0.0000, 0.5000, 0.0000)
Nd (0.2850, 0.9279, 0.4287)
Nd (0.5000, 0.5000, 0.5000)
Nd (0.7150, 0.0721, 0.5713)
Ho (0.1445, 0.2132, 0.7123)
Ho (0.8555, 0.7868, 0.2877)

Summary:
Fermi-level density of states   23.4 states/eV per cell
Calculated formation energy   0.0135 eV/atom
Theoretical density   6741 kg/m³


# 9
This record from Alexandria via LeMat-Bulk describes crystalline LaNd2Ho at its relaxed geometry. The functional is PBE.

a = 5.8888 Å, b = 7.4098 Å, c = 6.4267 Å
α = 90.00°, β = 90.00°, γ = 90.00°
Atoms (fractional coordinates):
La (0.2500, 0.2500, 0.1657)
La (0.7500, 0.7500, 0.8343)
Nd (0.2500, 0.0010, 0.6650)
Nd (0.2500, 0.4990, 0.6650)
Nd (0.7500, 0.5010, 0.3350)
Nd (0.7500, 0.9990, 0.3350)
Ho (0.2500, 0.7500, 0.1671)
Ho (0.7500, 0.2500, 0.8329)

Summary:
Fermi-level density of states   14.7 states/eV per cell
Calculated formation energy   0.0364 eV/atom
Theoretical density   7015 kg/m³


# 10
This record from Alexandria via LeMat-Bulk describes crystalline LaNd2Ho at its relaxed geometry. The functional is PBE.

a = 5.8279 Å, b = 5.8279 Å, c = 5.8279 Å
α = 60.00°, β = 60.00°, γ = 60.00°
Atoms (fractional coordinates):
La (0.0000, 0.0000, 0.0000)
Nd (0.2500, 0.2500, 0.2500)
Nd (0.7500, 0.7500, 0.7500)
Ho (0.5000, 0.5000, 0.5000)

Summary:
Fermi-level density of states   9.9 states/eV per cell
Calculated formation energy   0.1468 eV/atom
Theoretical density   7027 kg/m³


# 11
This record from Alexandria via LeMat-Bulk describes crystalline La2Nd6Ho3 at its relaxed geometry. The functional is PBE.

a = 6.2533 Å, b = 6.2533 Å, c = 11.9478 Å
α = 95.07°, β = 95.07°, γ = 120.06°
Atoms (fractional coordinates):
La (0.1668, 0.8332, 0.0000)
La (0.8332, 0.1668, 0.0000)
Nd (0.0827, 0.4153, 0.7454)
Nd (0.2518, 0.2518, 0.2546)
Nd (0.4153, 0.0827, 0.7454)
Nd (0.5847, 0.9173, 0.2546)
Nd (0.7482, 0.7482, 0.7454)
Nd (0.9173, 0.5847, 0.2546)
Ho (0.0000, 0.0000, 0.5000)
Ho (0.3346, 0.6654, 0.5000)
Ho (0.6654, 0.3346, 0.5000)

Summary:
Fermi-level density of states   16.4 states/eV per cell
Calculated formation energy   0.1625 eV/atom
Theoretical density   6835 kg/m³


# 12
This record from Alexandria via LeMat-Bulk describes crystalline La2Nd3Ho7 at its relaxed geometry. The functional is PBE.

a = 6.4033 Å, b = 3.5515 Å, c = 17.6698 Å
α = 90.00°, β = 96.30°, γ = 90.00°
Atoms (fractional coordinates):
La (0.0530, 0.0000, 0.1736)
La (0.9470, 0.0000, 0.8264)
Nd (0.4571, 0.5000, 0.8411)
Nd (0.5000, 0.0000, 0.5000)
Nd (0.5429, 0.5000, 0.1589)
Ho (0.0000, 0.5000, 0.5000)
Ho (0.2261, 0.0000, 0.6637)
Ho (0.2554, 0.0000, 0.0008)
Ho (0.2741, 0.5000, 0.3378)
Ho (0.7259, 0.5000, 0.6622)
Ho (0.7446, 0.0000, 0.9992)
Ho (0.7739, 0.0000, 0.3363)

Summary:
Fermi-level density of states   18.6 states/eV per cell
Calculated formation energy   0.0901 eV/atom
Theoretical density   7754 kg/m³


What did the third record say?
This record from Alexandria via LeMat-Bulk describes crystalline La12NdHo7 at its relaxed geometry. The functional is PBE.

a = 8.9944 Å, b = 8.9944 Å, c = 8.9944 Å
α = 98.97°, β = 98.97°, γ = 98.97°
Atoms (fractional coordinates):
La (0.0000, 0.2605, 0.7395)
La (0.0000, 0.7395, 0.2605)
La (0.1450, 0.1450, 0.4125)
La (0.1450, 0.4125, 0.1450)
La (0.2605, 0.0000, 0.7395)
La (0.2605, 0.7395, 0.0000)
La (0.4125, 0.1450, 0.1450)
La (0.5875, 0.8550, 0.8550)
La (0.7395, 0.0000, 0.2605)
La (0.7395, 0.2605, 0.0000)
La (0.8550, 0.5875, 0.8550)
La (0.8550, 0.8550, 0.5875)
Nd (0.5000, 0.5000, 0.5000)
Ho (0.0000, 0.0000, 0.0000)
Ho (0.1642, 0.5948, 0.5948)
Ho (0.4052, 0.4052, 0.8358)
Ho (0.4052, 0.8358, 0.4052)
Ho (0.5948, 0.1642, 0.5948)
Ho (0.5948, 0.5948, 0.1642)
Ho (0.8358, 0.4052, 0.4052)

Summary:
Fermi-level density of states   34.8 states/eV per cell
Calculated formation energy   0.0871 eV/atom
Theoretical density   7058 kg/m³


Q: Look up the theoretical density of the ninth one.
A: 7015 kg/m³


Q: Look up the Fermi-level density of states of the second one.
A: 14.8 states/eV per cell


Q: Which of these has the lowest Fermi-level density of states?
A: LaHoNbO6